(1)
! In2Ag3Au2, relaxed, DFT PBE; values from VASP
! Energy of formation from the pure elements ... -0.0686 eV/atom
! Size of the total moment ... 0.00 μB/f.u.
! Crystal system ... monoclinic
! Total DFT energy (no corrections) ... -3.01 eV per atom
&SYSTEM
  ibrav = 0, nat = 14, ntyp = 3
/
ATOMIC_SPECIES
In 114.82 In.upf
Ag 107.87 Ag.upf
Au 196.97 Au.upf
ATOMIC_POSITIONS crystal
In 0.1360 0.0000 0.4088
In 0.3640 0.5000 0.5912
In 0.6360 0.5000 0.4088
In 0.8640 0.0000 0.5912
Ag 0.0000 0.0000 0.0000
Ag 0.2111 0.5000 0.1330
Ag 0.2889 0.0000 0.8670
Ag 0.5000 0.5000 0.0000
Ag 0.7111 0.0000 0.1330
Ag 0.7889 0.5000 0.8670
Au 0.0799 0.5000 0.7156
Au 0.4201 0.0000 0.2844
Au 0.5799 0.0000 0.7156
Au 0.9201 0.5000 0.2844
CELL_PARAMETERS angstrom
9.6844 0.0000 0.0000
0.0000 4.1508 0.0000
-0.7803 0.0000 6.7388

(2)
! InAgAu2, relaxed, DFT PBE; values from VASP
! Energy of formation from the pure elements ... -0.1142 eV/atom
! Size of the total moment ... 0.00 μB/f.u.
! Crystal system ... tetragonal
! Total DFT energy (no corrections) ... -3.15 eV per atom
&SYSTEM
  ibrav = 0, nat = 8, ntyp = 3
/
ATOMIC_SPECIES
In 114.82 In.upf
Ag 107.87 Ag.upf
Au 196.97 Au.upf
ATOMIC_POSITIONS crystal
In 0.0000 0.0000 0.0000
In 0.5000 0.5000 0.5000
Ag 0.0000 0.0000 0.5000
Ag 0.5000 0.5000 0.0000
Au 0.0000 0.5000 0.2500
Au 0.0000 0.5000 0.7500
Au 0.5000 0.0000 0.2500
Au 0.5000 0.0000 0.7500
CELL_PARAMETERS angstrom
4.2010 0.0000 0.0000
0.0000 4.2010 0.0000
0.0000 0.0000 8.5833

(3)
! InAgAu4, relaxed, DFT PBE; values from VASP
! Energy of formation from the pure elements ... -0.0131 eV/atom
! Size of the total moment ... 0.00 μB/f.u.
! Crystal system ... cubic
! Total DFT energy (no corrections) ... -3.13 eV per atom
&SYSTEM
  ibrav = 0, nat = 6, ntyp = 3
/
ATOMIC_SPECIES
In 114.82 In.upf
Ag 107.87 Ag.upf
Au 196.97 Au.upf
ATOMIC_POSITIONS crystal
In 0.0000 0.0000 0.0000
Ag 0.7500 0.7500 0.7500
Au 0.3752 0.3752 0.3752
Au 0.3752 0.3752 0.8743
Au 0.3752 0.8743 0.3752
Au 0.8743 0.3752 0.3752
CELL_PARAMETERS angstrom
0.0000 3.9327 3.9327
3.9327 0.0000 3.9327
3.9327 3.9327 0.0000

(4)
! InAg3Au, relaxed, DFT PBE; values from VASP
! Energy of formation from the pure elements ... 0.4879 eV/atom
! Size of the total moment ... 0.00 μB/f.u.
! Crystal system ... cubic
! Total DFT energy (no corrections) ... -2.43 eV per atom
&SYSTEM
  ibrav = 0, nat = 5, ntyp = 3
/
ATOMIC_SPECIES
In 114.82 In.upf
Ag 107.87 Ag.upf
Au 196.97 Au.upf
ATOMIC_POSITIONS crystal
In 0.0000 0.0000 0.0000
Ag 0.0000 0.5000 0.5000
Ag 0.5000 0.0000 0.5000
Ag 0.5000 0.5000 0.0000
Au 0.5000 0.5000 0.5000
CELL_PARAMETERS angstrom
5.1994 0.0000 0.0000
0.0000 5.1994 0.0000
0.0000 0.0000 5.1994